Record 1
This record from Alexandria via LeMat-Bulk describes a relaxed ScCl crystal. The functional is PBE.

Structure (extended XYZ):
```
12
Lattice="3.464 0.000 0.000 0.000 11.876 0.000 0.000 0.000 6.547" Properties=species:S:1:pos:R:3 pbc="T T T"
Sc 0.866 1.447 0.056
Sc 0.866 4.491 0.056
Sc 0.866 8.907 4.258
Sc 2.598 2.969 2.289
Sc 2.598 7.386 6.491
Sc 2.598 10.429 6.491
Cl 0.866 2.969 4.358
Cl 0.866 6.422 4.758
Cl 0.866 11.392 4.758
Cl 2.598 0.484 1.789
Cl 2.598 5.454 1.789
Cl 2.598 8.907 2.189
```

## Properties
Total magnetization, μB/f.u.: 0.426
E_tot, eV per atom: -5.329
DOS at the Fermi energy, states/eV per atom: 0.515
Formation energy without anion corrections, eV per atom: -1.2401

Record 2
This record from Alexandria via LeMat-Bulk describes a relaxed La4Pr2TmMg crystal. The functional is PBE.

Structure (extended XYZ):
```
8
Lattice="5.151 0.000 0.000 0.000 5.151 0.000 0.000 0.000 10.305" Properties=species:S:1:pos:R:3 pbc="T T T"
La 0.000 2.576 2.554
La 0.000 2.576 7.751
La 2.576 0.000 2.554
La 2.576 0.000 7.751
Pr 0.000 0.000 0.000
Pr 2.576 2.576 5.152
Tm 0.000 0.000 5.152
Mg 2.576 2.576 0.000
```

## Properties
Total magnetization, μB/f.u.: 0.000
E_tot, eV per atom: -4.420
DOS at the Fermi energy, states/eV per atom: 1.432
Calculated formation energy, meV per atom: -3

Record 3
This record from Alexandria via LeMat-Bulk describes a relaxed Pu2InSe crystal. The functional is PBE.

Structure (extended XYZ):
```
4
Lattice="3.423 0.000 0.000 0.000 3.423 0.000 0.000 0.000 8.419" Properties=species:S:1:pos:R:3 pbc="T T T"
Pu 0.000 0.000 1.846
Pu 0.000 0.000 6.573
In 1.711 1.711 4.209
Se 1.711 1.711 0.000
```

## Properties
Total magnetization, μB/f.u.: 11.497
E_tot, eV per atom: -9.417
DOS at the Fermi energy, states/eV per atom: 3.392
Energy above the lowest structure with this stoichiometry, kcal/mol of atoms: 0.00
Formation energy without anion corrections, eV per atom: -0.6955

Record 4
This record from Alexandria via LeMat-Bulk describes a relaxed ScIBr3 crystal. The functional is PBE.

Structure (extended XYZ):
```
5
Lattice="5.008 0.000 0.000 0.000 5.008 0.000 0.000 0.000 7.521" Properties=species:S:1:pos:R:3 pbc="T T T"
Sc 0.000 0.000 0.000
I 2.504 2.504 4.921
Br 0.000 0.000 5.047
Br 0.000 2.504 0.912
Br 2.504 0.000 0.912
```

## Properties
Total magnetization, μB/f.u.: 0.886
E_tot, eV per atom: -3.593
DOS at the Fermi energy, states/eV per atom: 0.440
Energy above the lowest structure with this stoichiometry, kcal/mol of atoms: 7.48
Formation energy without anion corrections, eV per atom: -1.0131